No. 1
The following is a PBE calculation of crystalline TaCrSe2 at its relaxed geometry, from the Alexandria database.

Cell lengths 5.2028, 5.2028, 5.2028 Å; angles 142.42, 110.25, 82.04 degrees
Closest atoms and distances in Å follow each position.
Fractional coordinates of all 4 atoms:
1 Cr 0.2500 0.7500 0.5000  4 Se 2.60
2 Se 0.9973 0.9973 0.0000  2 Ta 2.57, 2 Cr 2.60
3 Se 0.5027 0.5027 0.0000  2 Ta 2.57, 2 Cr 2.60
4 Ta 0.7500 0.2500 0.5000  4 Se 2.57

For the energy above the most stable polymorph in this dataset, the calculation gives 0.6428 eV per atom.

=====

No. 2
The following is a PBE calculation of crystalline Ta2CrSe at its relaxed geometry, from the Alexandria database.

Cell lengths 3.8761, 3.8761, 10.0814 Å; angles 78.92, 78.92, 90.00 degrees
Closest atoms and distances in Å follow each position.
Fractional coordinates of all 8 atoms:
1 Cr 0.5000 0.5000 0.0000  4 Se 2.74, 4 Ta 2.79
2 Cr 0.2500 0.7500 0.5000  4 Se 2.74, 4 Ta 2.79
3 Se 0.0000 0.0000 0.0000  4 Cr 2.74, 4 Ta 2.79
4 Se 0.7500 0.2500 0.5000  4 Cr 2.74, 4 Ta 2.79
5 Ta 0.6254 0.1250 0.2500  4 Ta 2.74, 2 Se 2.79, 2 Cr 2.79
6 Ta 0.1246 0.6250 0.2500  4 Ta 2.74, 2 Se 2.79, 2 Cr 2.79
7 Ta 0.3750 0.3746 0.7500  4 Ta 2.74, 2 Se 2.79, 2 Cr 2.79
8 Ta 0.8750 0.8754 0.7500  4 Ta 2.74, 2 Se 2.79, 2 Cr 2.79

The value obtained for the raw total energy is -8.713 eV/atom.

=====

No. 3
The following is a PBE calculation of crystalline Ta2CrSe at its relaxed geometry, from the Alexandria database.

Cell lengths 3.0051, 3.0051, 7.9694 Å; angles 90.00, 90.00, 111.67 degrees
Closest atoms and distances in Å follow each position.
Fractional coordinates of all 4 atoms:
1 Cr 0.5000 0.5000 0.2500  4 Ta 2.54
2 Se 0.5000 0.5000 0.7500  4 Ta 2.69, 4 Se 3.01
3 Ta 0.0000 0.0000 0.0125  2 Cr 2.54, 2 Se 2.69
4 Ta 0.0000 0.0000 0.4875  2 Cr 2.54, 2 Se 2.69

The value obtained for the raw total energy is -9.046 eV/atom.

=====

No. 4
The following is a PBE calculation of crystalline Ta2CrSe5 at its relaxed geometry, from the Alexandria database.

Cell lengths 4.6272, 7.1139, 7.1434 Å; angles 83.95, 71.10, 71.02 degrees
Closest atoms and distances in Å follow each position.
Fractional coordinates of all 8 atoms:
1 Ta 0.8118 0.5000 0.8763  3 Se 2.54-2.63
2 Ta 0.1882 0.5000 0.1237  3 Se 2.54-2.63
3 Cr 0.5000 0.5000 0.5000  2 Se 2.31
4 Se 0.2215 0.7399 0.8172  3 Ta 2.63-2.85, 1 Cr 2.68
5 Se 0.5387 0.7399 0.1828  3 Ta 2.63-2.85, 1 Cr 2.68
6 Se 0.0000 0.5000 0.5000  2 Cr 2.31, 2 Ta 2.54
7 Se 0.7785 0.2601 0.1828  3 Ta 2.63-2.85, 1 Cr 2.68
8 Se 0.4613 0.2601 0.8172  3 Ta 2.63-2.85, 1 Cr 2.68

The value obtained for the raw total energy is -6.808 eV/atom.